Record 1
Computed, not measured: a relaxed structure of KMgNb at the PBE level of DFT.

Computed properties:
The formation energy comes out at 732 meV per atom. As for the energy above the most stable polymorph in this dataset: 416 meV/atom. As for the total energy: -3.5221 eV/atom. The volume comes out at 186.03 Å³ per cell. The calculation puts the magnetic moment at 0.00 μB/cell.

abc: 4.9697 7.2390 6.0535
angles: 97.69 65.39 110.02
Closest atoms and distances in Å follow each position.
Sites, in units of the cell vectors:
K: 0.1431 0.4974 0.2080  3 K 3.22-3.38
K: 0.8569 0.5026 0.7920  3 K 3.22-3.38
Mg: 0.6934 0.8877 0.5012  2 Mg 2.92, 4 Nb 3.11-3.12
Mg: 0.3066 0.1123 0.4988  2 Mg 2.92, 4 Nb 3.11-3.12
Nb: 0.7497 0.9995 0.0000  2 Nb 2.48-2.49
Nb: 0.2503 0.0005 0.0000  2 Nb 2.48-2.49

Record 2
Computed, not measured: a relaxed structure of KMgNb3 at the PBE level of DFT.

Computed properties:
The formation energy comes out at 2008 meV per atom. As for the energy above the most stable polymorph in this dataset: 0 meV/atom. As for the total energy: -4.5722 eV/atom. The volume comes out at 127.06 Å³ per cell. The calculation puts the magnetic moment at 0.00 μB/cell.

abc: 5.0273 5.0273 5.0273
angles: 90.00 90.00 90.00
Closest atoms and distances in Å follow each position.
Sites, in units of the cell vectors:
K: 0.5000 0.5000 0.5000  12 Nb 3.55
Nb: 0.0000 0.0000 0.5000  2 Mg 2.51
Nb: 0.5000 0.0000 0.0000  2 Mg 2.51
Nb: 0.0000 0.5000 0.0000  2 Mg 2.51
Mg: 0.0000 0.0000 0.0000  6 Nb 2.51

Record 3
Computed, not measured: a relaxed structure of K2MgNb at the PBE level of DFT.

Computed properties:
The formation energy comes out at 1225 meV per atom. As for the total energy: -2.2396 eV/atom. The volume comes out at 309.87 Å³ per cell. The calculation puts the magnetic moment at 9.28 μB/cell.

abc: 9.8315 9.8315 7.6555
angles: 50.05 50.05 90.00
Closest atoms and distances in Å follow each position.
Sites, in units of the cell vectors:
Mg: 0.2500 0.7500 0.5000  2 Nb 3.21, 4 K 3.54
Mg: 0.5000 0.5000 0.0000  2 Nb 3.21, 4 K 3.54
K: 0.1287 0.6250 0.2500  2 K 3.21, 2 Mg 3.54
K: 0.8750 0.8713 0.7500  2 K 3.21, 2 Mg 3.54
K: 0.6213 0.1250 0.2500  2 K 3.21, 2 Mg 3.54
K: 0.3750 0.3787 0.7500  2 K 3.21, 2 Mg 3.54
Nb: 0.7500 0.2500 0.5000  2 Mg 3.21
Nb: 0.0000 0.0000 0.0000  2 Mg 3.21

Record 4
Computed, not measured: a relaxed structure of KMgNb at the PBE level of DFT.

Computed properties:
The formation energy comes out at 986 meV per atom. As for the energy above the most stable polymorph in this dataset: 671 meV/atom. As for the total energy: -3.2677 eV/atom. The volume comes out at 214.55 Å³ per cell. The calculation puts the magnetic moment at 0.00 μB/cell.

abc: 5.5885 5.5885 7.9325
angles: 90.00 90.00 120.00
Closest atoms and distances in Å follow each position.
Sites, in units of the cell vectors:
Mg: 0.3333 0.6667 0.3149  1 Mg 2.94, 3 Nb 3.25
Mg: 0.3333 0.6667 0.6851  1 Mg 2.94, 3 Nb 3.25
Nb: 0.0000 0.0000 0.6366  1 Nb 2.17
Nb: 0.0000 0.0000 0.3634  1 Nb 2.17
K: 0.6667 0.3333 0.0000  2 K 3.97, 6 Mg 4.08, 6 Nb 4.33
K: 0.6667 0.3333 0.5000  6 Nb 3.40, 6 Mg 3.54

Record 5
Computed, not measured: a relaxed structure of KMgNb at the PBE level of DFT.

Computed properties:
The formation energy comes out at 719 meV per atom. As for the energy above the most stable polymorph in this dataset: 404 meV/atom. As for the total energy: -3.5345 eV/atom. The volume comes out at 201.03 Å³ per cell. The calculation puts the magnetic moment at 0.00 μB/cell.

abc: 4.8594 6.1469 9.0312
angles: 66.77 55.45 84.76
Closest atoms and distances in Å follow each position.
Sites, in units of the cell vectors:
Nb: 0.0394 0.5100 0.8532  1 Nb 2.18
Nb: 0.4442 0.3239 0.8526  1 Nb 2.18
K: 0.9521 0.9088 0.3909  3 K 3.60-3.96, 3 Nb 3.74-4.00, 3 Mg 3.75-3.92
K: 0.4496 0.3778 0.3955  3 K 3.60-3.96, 3 Mg 3.74-3.93, 3 Nb 3.77-3.99
Mg: 0.8898 0.0058 0.9413  2 Mg 2.92-2.94, 3 Nb 2.93-3.02
Mg: 0.4228 0.7421 0.9364  2 Mg 2.92-2.94, 3 Nb 2.93-3.01

Record 6
Computed, not measured: a relaxed structure of KMg6Nb at the PBE level of DFT.

Computed properties:
The formation energy comes out at 287 meV per atom. As for the energy above the most stable polymorph in this dataset: 0 meV/atom. As for the total energy: -2.3053 eV/atom. The volume comes out at 197.43 Å³ per cell. The calculation puts the magnetic moment at 1.47 μB/cell.

abc: 6.6685 6.6685 4.4397
angles: 90.00 90.00 90.00
Closest atoms and distances in Å follow each position.
Sites, in units of the cell vectors:
Mg: 0.6252 0.8753 0.5000  8 Mg 3.25, 2 Nb 3.33-3.34, 2 K 3.33
Mg: 0.1247 0.3748 0.5000  8 Mg 3.25, 2 Nb 3.33-3.34, 2 K 3.33
Mg: 0.4052 0.1553 0.0000  6 Mg 2.93-3.25, 2 Nb 3.04
Mg: 0.4052 0.5948 0.0000  6 Mg 2.93-3.25, 2 Nb 3.04
Mg: 0.8448 0.1552 0.0000  6 Mg 2.93-3.25, 2 Nb 3.04
Mg: 0.8447 0.5948 0.0000  6 Mg 2.93-3.25, 2 Nb 3.04
Nb: 0.6250 0.3750 0.5000  12 Mg 3.04-3.34
K: 0.1252 0.8748 0.5000  12 Mg 3.33-3.45

Record 7
Computed, not measured: a relaxed structure of KMgNb at the PBE level of DFT.

Computed properties:
The formation energy comes out at 483 meV per atom. As for the energy above the most stable polymorph in this dataset: 167 meV/atom. As for the total energy: -3.7713 eV/atom. The volume comes out at 208.05 Å³ per cell. The calculation puts the magnetic moment at 0.00 μB/cell.

abc: 3.3448 4.9737 12.9344
angles: 89.98 75.22 90.00
Closest atoms and distances in Å follow each position.
Sites, in units of the cell vectors:
Nb: 0.6462 0.5612 0.9893  2 Nb 2.57-2.58
Nb: 0.3001 0.5614 0.8326  2 Nb 2.57-2.58
K: 0.3846 0.0616 0.2409  2 K 3.34, 2 Mg 3.68-3.72
K: 0.5930 0.5617 0.5541  2 K 3.34, 1 Nb 3.48
Mg: 0.8561 0.0614 0.7763  4 Mg 3.01-3.34, 4 Nb 3.08
Mg: 0.1578 0.0612 0.9768  6 Nb 3.00-3.07, 4 Mg 3.01-3.34

Record 8
Computed, not measured: a relaxed structure of KMgNb at the PBE level of DFT.

Computed properties:
The formation energy comes out at 316 meV per atom. As for the energy above the most stable polymorph in this dataset: 0 meV/atom. As for the total energy: -3.9384 eV/atom. The volume comes out at 187.88 Å³ per cell. The calculation puts the magnetic moment at 0.00 μB/cell.

abc: 14.9605 3.5438 3.5438
angles: 90.00 89.77 90.00
Closest atoms and distances in Å follow each position.
Sites, in units of the cell vectors:
Nb: 0.0395 0.7500 0.2493  4 Nb 2.77, 5 Mg 2.98-3.08
Nb: 0.9605 0.2500 0.7507  4 Nb 2.77, 5 Mg 2.98-3.08
K: 0.3610 0.7500 0.2425  4 K 3.54, 4 Mg 3.92
K: 0.6390 0.2500 0.7575  4 K 3.54, 4 Mg 3.92
Mg: 0.1596 0.2500 0.7472  5 Nb 2.98-3.08
Mg: 0.8404 0.7500 0.2528  5 Nb 2.98-3.08